A plane-wave DFT calculation with GGA-PBE was carried out for a relaxed La2ZrCu crystal.

a = 3.606 Å, b = 4.897 Å, c = 6.450 Å
α = 90.00°, β = 106.07°, γ = 90.00°
Fractional coordinates of all 4 atoms:
La 0.000 0.000 0.000
La 0.308 0.500 0.617
Zr 0.590 0.500 0.183
Cu 0.711 0.000 0.422

* D(E_F): 1.209 states/eV per atom
* total DFT energy (no corrections): -5.521 eV/atom
* relative energy among the computed polymorphs: 116 meV/atom
* space-group type: Pm
* energy of formation from the pure elements: 0.104 eV per atom

=====

A plane-wave DFT calculation with GGA-PBE was carried out for a relaxed La2ZrCu crystal.

a = 6.401 Å, b = 19.285 Å, c = 3.549 Å
α = 90.00°, β = 90.00°, γ = 90.00°
Fractional coordinates of all 16 atoms:
La 0.000 0.134 0.000
La 0.000 0.308 0.500
La 0.000 0.692 0.500
La 0.000 0.866 0.000
La 0.500 0.192 0.500
La 0.500 0.366 0.000
La 0.500 0.634 0.000
La 0.500 0.808 0.500
Zr 0.241 0.000 0.500
Zr 0.259 0.500 0.500
Zr 0.741 0.500 0.500
Zr 0.759 0.000 0.500
Cu 0.000 0.431 0.000
Cu 0.000 0.569 0.000
Cu 0.500 0.069 0.000
Cu 0.500 0.931 0.000

* D(E_F): 1.152 states/eV per atom
* total DFT energy (no corrections): -5.637 eV/atom
* relative energy among the computed polymorphs: 0 meV/atom
* space-group type: Cmmm
* energy of formation from the pure elements: -0.012 eV per atom

=====

A plane-wave DFT calculation with GGA-PBE was carried out for a relaxed La2ZrCu crystal.

a = 7.533 Å, b = 7.533 Å, c = 7.533 Å
α = 90.00°, β = 90.00°, γ = 90.00°
Fractional coordinates of all 16 atoms:
La 0.250 0.250 0.250
La 0.250 0.250 0.750
La 0.250 0.750 0.250
La 0.250 0.750 0.750
La 0.750 0.250 0.250
La 0.750 0.250 0.750
La 0.750 0.750 0.250
La 0.750 0.750 0.750
Zr 0.000 0.000 0.000
Zr 0.000 0.500 0.500
Zr 0.500 0.000 0.500
Zr 0.500 0.500 0.000
Cu 0.000 0.000 0.500
Cu 0.000 0.500 0.000
Cu 0.500 0.000 0.000
Cu 0.500 0.500 0.500

* D(E_F): 0.914 states/eV per atom
* total DFT energy (no corrections): -5.378 eV/atom
* relative energy among the computed polymorphs: 258 meV/atom
* space-group type: Fm-3m
* energy of formation from the pure elements: 0.246 eV per atom

=====

A plane-wave DFT calculation with GGA-PBE was carried out for a relaxed LaZrCu2 crystal.

a = 4.101 Å, b = 4.101 Å, c = 9.692 Å
α = 90.00°, β = 90.00°, γ = 90.00°
Fractional coordinates of all 8 atoms:
La 0.000 0.000 0.000
La 0.500 0.500 0.500
Zr 0.000 0.500 0.750
Zr 0.500 0.000 0.250
Cu 0.000 0.000 0.500
Cu 0.000 0.500 0.250
Cu 0.500 0.000 0.750
Cu 0.500 0.500 0.000

* D(E_F): 1.013 states/eV per atom
* total DFT energy (no corrections): -5.277 eV/atom
* relative energy among the computed polymorphs: 234 meV/atom
* space-group type: I-4m2
* energy of formation from the pure elements: 0.140 eV per atom

=====

A plane-wave DFT calculation with GGA-PBE was carried out for a relaxed LaZr2Cu9 crystal.

a = 5.160 Å, b = 5.160 Å, c = 16.325 Å
α = 90.00°, β = 90.00°, γ = 120.00°
Fractional coordinates of all 24 atoms:
La 0.333 0.667 0.250
La 0.667 0.333 0.750
Zr 0.333 0.667 0.029
Zr 0.333 0.667 0.471
Zr 0.667 0.333 0.529
Zr 0.667 0.333 0.971
Cu 0.000 0.000 0.000
Cu 0.000 0.000 0.250
Cu 0.000 0.000 0.500
Cu 0.000 0.000 0.750
Cu 0.168 0.336 0.622
Cu 0.168 0.336 0.878
Cu 0.168 0.832 0.622
Cu 0.168 0.832 0.878
Cu 0.333 0.667 0.750
Cu 0.336 0.168 0.122
Cu 0.336 0.168 0.378
Cu 0.664 0.832 0.622
Cu 0.664 0.832 0.878
Cu 0.667 0.333 0.250
Cu 0.832 0.168 0.122
Cu 0.832 0.168 0.378
Cu 0.832 0.664 0.122
Cu 0.832 0.664 0.378

* D(E_F): 1.094 states/eV per atom
* total DFT energy (no corrections): -5.014 eV/atom
* space-group type: P6_3/mmc
* energy of formation from the pure elements: -0.106 eV per atom

=====

A plane-wave DFT calculation with GGA-PBE was carried out for a relaxed LaZrCu3 crystal.

a = 4.916 Å, b = 4.916 Å, c = 4.916 Å
α = 90.00°, β = 90.00°, γ = 90.00°
Fractional coordinates of all 5 atoms:
La 0.000 0.000 0.000
Zr 0.500 0.500 0.500
Cu 0.000 0.000 0.500
Cu 0.000 0.500 0.000
Cu 0.500 0.000 0.000

* D(E_F): 1.009 states/eV per atom
* total DFT energy (no corrections): -4.054 eV/atom
* relative energy among the computed polymorphs: 615 meV/atom
* space-group type: Pm-3m
* energy of formation from the pure elements: 1.098 eV per atom

=====

A plane-wave DFT calculation with GGA-PBE was carried out for a relaxed La2ZrCu2 crystal.

a = 8.063 Å, b = 8.063 Å, c = 3.733 Å
α = 90.00°, β = 90.00°, γ = 90.00°
Fractional coordinates of all 10 atoms:
La 0.179 0.321 0.000
La 0.321 0.821 0.000
La 0.679 0.179 0.000
La 0.821 0.679 0.000
Zr 0.000 0.000 0.500
Zr 0.500 0.500 0.500
Cu 0.118 0.618 0.500
Cu 0.382 0.118 0.500
Cu 0.618 0.882 0.500
Cu 0.882 0.382 0.500

* D(E_F): 1.986 states/eV per atom
* total DFT energy (no corrections): -5.293 eV/atom
* space-group type: P4/mbm
* energy of formation from the pure elements: 0.026 eV per atom

=====

A plane-wave DFT calculation with GGA-PBE was carried out for a relaxed LaZrCu3 crystal.

a = 4.904 Å, b = 4.904 Å, c = 4.904 Å
α = 90.00°, β = 90.00°, γ = 90.00°
Fractional coordinates of all 5 atoms:
La 0.000 0.000 0.000
Zr 0.500 0.500 0.500
Cu 0.000 0.500 0.500
Cu 0.500 0.000 0.500
Cu 0.500 0.500 0.000

* D(E_F): 1.253 states/eV per atom
* total DFT energy (no corrections): -4.669 eV/atom
* relative energy among the computed polymorphs: 0 meV/atom
* space-group type: Pm-3m
* energy of formation from the pure elements: 0.484 eV per atom